one | DFT (PBE) results for an optimized crystal structure of La4Ag2Os.

a b c (Å): 5.5703 5.5703 8.6032
angles (deg): 108.89 108.89 90.00
Positions (direct):
Os: 0.0000 0.0000 0.0000
Ag: 0.6163 0.6163 0.2326
Ag: 0.3837 0.3837 0.7674
La: 0.8162 0.8162 0.6323
La: 0.1839 0.1839 0.3677
La: 0.0000 0.5000 0.0000
La: 0.5000 0.0000 0.0000

As for the space-group type: No. 139. The total magnetization is 0.00 Bohr magnetons per cell.


two | DFT (PBE) results for an optimized crystal structure of La4Ag2Os.

a b c (Å): 4.5003 6.4567 7.9969
angles (deg): 102.79 106.34 90.00
Positions (direct):
Os: 0.0000 0.0000 0.0000
Ag: 0.2336 0.3518 0.4673
Ag: 0.7664 0.6482 0.5327
La: 0.1485 0.8205 0.2971
La: 0.8515 0.1795 0.7029
La: 0.4238 0.7312 0.8477
La: 0.5762 0.2688 0.1523

As for the space-group type: No. 12. The total magnetization is 0.00 Bohr magnetons per cell.


Result of the stability comparison: two is the most stable of them.


one | DFT (PBE) results for an optimized crystal structure of LaAg3Os.

a b c (Å): 5.2586 5.2586 5.2586
angles (deg): 90.00 90.00 90.00
Positions (direct):
Os: 0.5000 0.5000 0.5000
Ag: 0.0000 0.5000 0.0000
Ag: 0.0000 0.0000 0.5000
Ag: 0.5000 0.0000 0.0000
La: 0.0000 0.0000 0.0000

As for the space-group type: No. 221. The total magnetization is 0.00 Bohr magnetons per cell.


two | DFT (PBE) results for an optimized crystal structure of LaAg3Os.

a b c (Å): 5.0458 5.0458 5.0458
angles (deg): 90.00 90.00 90.00
Positions (direct):
Os: 0.0000 0.0000 0.0000
Ag: 0.0000 0.5000 0.0000
Ag: 0.0000 0.0000 0.5000
Ag: 0.5000 0.0000 0.0000
La: 0.5000 0.5000 0.5000

As for the space-group type: No. 221. The total magnetization is 0.00 Bohr magnetons per cell.


Result of the stability comparison: two is the most stable of them.


one | DFT (PBE) results for an optimized crystal structure of LaAgP2S.

a b c (Å): 4.7647 4.7647 4.9622
angles (deg): 90.00 90.00 90.00
Positions (direct):
P: 0.0000 0.5000 0.0000
P: 0.5000 0.0000 0.0000
S: 0.0000 0.0000 0.5000
Ag: 0.0000 0.0000 0.0000
La: 0.5000 0.5000 0.5000

As for the space-group type: No. 123. The total magnetization is 0.00 Bohr magnetons per cell.


two | DFT (PBE) results for an optimized crystal structure of LaAgP2S.

a b c (Å): 5.6052 5.6052 5.4496
angles (deg): 90.00 90.00 90.00
Site moments in Bohr magnetons follow the coordinates.
Positions (direct):
P: 0.0000 0.5000 0.0000  0.30
P: 0.5000 0.0000 0.0000  0.30
S: 0.0000 0.0000 0.5000  0.17
Ag: 0.5000 0.5000 0.5000  0.00
La: 0.0000 0.0000 0.0000  0.05

As for the space-group type: No. 123. The total magnetization is 1.67 Bohr magnetons per cell.


Result of the stability comparison: one is the most stable of them.


one | DFT (PBE) results for an optimized crystal structure of La2PaAg.

a b c (Å): 3.2686 3.2686 11.9382
angles (deg): 82.13 82.13 60.00
Positions (direct):
Pa: 0.0000 0.0000 0.0000
Ag: 0.5000 0.5000 0.5000
La: 0.0894 0.0894 0.7319
La: 0.9106 0.9106 0.2681

As for the space-group type: No. 166. The total magnetization is 0.00 Bohr magnetons per cell.


two | DFT (PBE) results for an optimized crystal structure of La2PaAg.

a b c (Å): 3.3542 5.7274 5.7274
angles (deg): 90.00 90.00 90.00
Positions (direct):
Pa: 0.5000 0.5000 0.5000
Ag: 0.5000 0.0000 0.0000
La: 0.0000 0.0000 0.5000
La: 0.0000 0.5000 0.0000

As for the space-group type: No. 123. The total magnetization is 0.00 Bohr magnetons per cell.


three | DFT (PBE) results for an optimized crystal structure of La2PaAg.

a b c (Å): 3.4884 3.4884 9.2218
angles (deg): 90.00 90.00 90.00
Positions (direct):
Pa: 0.5000 0.5000 0.5000
Ag: 0.5000 0.5000 0.0000
La: 0.0000 0.0000 0.7610
La: 0.0000 0.0000 0.2390

As for the space-group type: No. 123. The total magnetization is 0.00 Bohr magnetons per cell.


Result of the stability comparison: three is the most stable of them.